Entry 1:
PBE ScTaGa4Co2, optimized geometry; calculated formation energy = -0.036 eV/atom; density = 7.80 g cm⁻³; E_tot = -0.20574 Ha/atom
1.0
-0.6314 0.2155 3.5278
0.1756 -3.5773 0.2499
10.1115 0.6201 1.7719
Ga Co Sc Ta
4 2 1 1
Direct
0.0000 0.5000 0.7751
0.5000 0.0000 0.2249
0.0000 0.5000 0.2249
0.5000 0.0000 0.7751
0.5000 0.5000 0.3923
0.5000 0.5000 0.6077
0.0000 0.0000 0.0000
0.0000 0.0000 0.5000

Entry 2:
PBE TbScGaCo, optimized geometry; calculated formation energy = -0.350 eV/atom; density = 7.15 g cm⁻³; E_tot = -0.20667 Ha/atom
1.0
4.7791 0.0000 0.0000
2.3896 4.1388 0.0000
2.3896 1.3796 3.9021
Co Ga Tb Sc
1 1 1 1
Direct
0.7500 0.7500 0.7500
0.2500 0.2500 0.2500
0.5000 0.5000 0.5000
0.0000 0.0000 0.0000

Entry 3:
PBE ScGaCoTc, optimized geometry; calculated formation energy = -0.175 eV/atom; density = 7.74 g cm⁻³; E_tot = -0.25293 Ha/atom
1.0
4.3523 0.0000 0.0000
2.1762 3.7692 0.0000
2.1762 1.2564 3.5537
Tc Ga Co Sc
1 1 1 1
Direct
0.0000 0.0000 0.0000
0.7500 0.7500 0.7500
0.5000 0.5000 0.5000
0.2500 0.2500 0.2500

Entry 4:
PBE Sc2Ga5CoTc2, optimized geometry; calculated formation energy = -0.221 eV/atom; density = 7.00 g cm⁻³; E_tot = -0.21259 Ha/atom
1.0
-2.2429 -0.1014 2.3290
-7.1740 -1.3107 -6.9657
1.1621 -9.9944 0.6838
Tc Ga Sc Co
4 10 4 2
Direct
0.0000 0.3659 0.1341
0.0000 0.8659 0.3659
0.0000 0.1341 0.6341
0.0000 0.6341 0.8659
0.5000 0.3172 0.5561
0.5000 0.5561 0.6828
0.5000 0.6828 0.4439
0.5000 0.8172 0.9439
0.5000 0.1828 0.0561
0.5000 0.5000 0.0000
0.5000 0.4439 0.3172
0.5000 0.0561 0.8172
0.5000 0.9439 0.1828
0.5000 0.0000 0.5000
0.0000 0.6805 0.1805
0.0000 0.8195 0.6805
0.0000 0.3195 0.8195
0.0000 0.1805 0.3195
0.0000 0.0000 0.0000
0.0000 0.5000 0.5000

Entry 5:
PBE ThScGa2Co2, optimized geometry; calculated formation energy = -0.484 eV/atom; density = 8.38 g cm⁻³; E_tot = -0.22612 Ha/atom
1.0
4.2640 0.0000 0.0000
-2.1320 3.6927 0.0000
0.0000 0.0000 6.7225
Sc Co Ga Th
1 2 2 1
Direct
0.0000 0.0000 0.5000
0.6667 0.3333 0.2837
0.3333 0.6667 0.7163
0.3333 0.6667 0.2986
0.6667 0.3333 0.7014
0.0000 0.0000 0.0000

Entry 6:
PBE ScTiGa4Co2, optimized geometry; calculated formation energy = -0.077 eV/atom; density = 5.91 g cm⁻³; E_tot = -0.18907 Ha/atom
1.0
4.3247 0.0000 0.0000
0.0000 4.3247 0.0000
0.0000 0.0000 7.3575
Ti Sc Ga Co
1 1 4 2
Direct
0.0000 0.0000 0.5000
0.0000 0.0000 0.0000
0.0000 0.5000 0.2421
0.5000 0.0000 0.2421
0.0000 0.5000 0.7579
0.5000 0.0000 0.7579
0.5000 0.5000 0.3575
0.5000 0.5000 0.6425

Entry 7:
PBE ScTlGa2Co, optimized geometry; calculated formation energy = -0.182 eV/atom; density = 7.29 g cm⁻³; E_tot = -0.16733 Ha/atom
1.0
-1.3874 -1.4334 4.1747
3.5229 -2.9961 0.1421
2.7389 3.3177 2.0494
Ga Co Tl Sc
2 1 1 1
Direct
0.0000 0.5000 0.0000
0.5000 0.0000 0.0000
0.0000 0.0000 0.0000
0.5000 0.5000 0.5000
0.0000 0.0000 0.5000

Entry 8:
PBE Sc2V2GaCo5, optimized geometry; calculated formation energy = -0.093 eV/atom; density = 6.67 g cm⁻³; E_tot = -0.25866 Ha/atom
1.0
3.3033 0.0000 0.0000
0.0000 9.1550 0.0000
0.0000 0.0000 9.1550
Co Sc Ga V
10 4 2 4
Direct
0.5000 0.9397 0.2069
0.5000 0.5603 0.7069
0.5000 0.7069 0.4397
0.5000 0.2931 0.5603
0.5000 0.5000 0.0000
0.5000 0.0603 0.7931
0.5000 0.7931 0.9397
0.5000 0.4397 0.2931
0.5000 0.0000 0.5000
0.5000 0.2069 0.0603
0.0000 0.1765 0.3235
0.0000 0.8235 0.6765
0.0000 0.6765 0.1765
0.0000 0.3235 0.8235
0.0000 0.0000 0.0000
0.0000 0.5000 0.5000
0.0000 0.8763 0.3763
0.0000 0.3763 0.1237
0.0000 0.1237 0.6237
0.0000 0.6237 0.8763